Record 1
The following is a PBE calculation of a geometry-optimized Tc2RhI structure, from the Alexandria database.

Output
The symmetry is Fm-3m (225). The uncorrected formation energy comes out at 0.74 eV/atom. For the calculated volume, the calculation gives 64.5 Å³/cell. For the energy above the most stable polymorph in this dataset, the calculation gives 0.00 kcal/mol of atoms. For the electronic total energy, the calculation gives -6.665 eV/atom.

a b c (Å): 4.5004 4.5004 4.5004
angles (deg): 60.00 60.00 60.00
With the nearest neighbours (Å) after each atom.
Sites, in units of the cell vectors:
I (0.5000, 0.5000, 0.5000)  8 Tc 2.76
Rh (0.0000, 0.0000, 0.0000)  8 Tc 2.76
Tc (0.2500, 0.2500, 0.2500)  4 I 2.76, 4 Rh 2.76
Tc (0.7500, 0.7500, 0.7500)  4 I 2.76, 4 Rh 2.76

***

Record 2
The following is a PBE calculation of a geometry-optimized TlHg2Ir structure, from the Alexandria database.

Output
For the formation energy, the calculation gives 54 kJ per mole of atoms. The symmetry is P4/mmm (123). For the calculated volume, the calculation gives 84.4 Å³/cell. For the energy above the most stable polymorph in this dataset, the calculation gives 6.40 kcal/mol of atoms. For the electronic total energy, the calculation gives -2.402 eV/atom.

a b c (Å): 5.1478 5.1478 3.1850
angles (deg): 90.00 90.00 90.00
With the nearest neighbours (Å) after each atom.
Sites, in units of the cell vectors:
Hg (0.0000, 0.0000, 0.0000)  4 Tl 3.03, 4 Ir 3.03, 2 Hg 3.18
Hg (0.5000, 0.5000, 0.0000)  4 Tl 3.03, 4 Ir 3.03, 2 Hg 3.18
Ir (0.5000, 0.0000, 0.5000)  8 Hg 3.03, 2 Ir 3.18
Tl (0.0000, 0.5000, 0.5000)  8 Hg 3.03, 2 Tl 3.18

***

Record 3
The following is a PBE calculation of a geometry-optimized Tm6Zn2Pt structure, from the Alexandria database.

Output
For the formation energy, the calculation gives -29 kJ per mole of atoms. The symmetry is C2/m (12). For the calculated volume, the calculation gives 242.3 Å³/cell. For the energy above the most stable polymorph in this dataset, the calculation gives 3.07 kcal/mol of atoms. For the electronic total energy, the calculation gives -4.233 eV/atom.

a b c (Å): 4.8641 6.8703 8.3815
angles (deg): 114.20 106.81 90.00
With the nearest neighbours (Å) after each atom.
Sites, in units of the cell vectors:
Tm (0.1623, 0.4093, 0.3249)  1 Pt 2.90, 3 Zn 2.99-3.00
Tm (0.8377, 0.0844, 0.6751)  1 Pt 2.90, 3 Zn 2.99-3.00
Tm (0.8377, 0.5907, 0.6751)  1 Pt 2.90, 3 Zn 2.99-3.00
Tm (0.5000, 0.2437, 0.0000)  2 Pt 2.95, 2 Zn 3.00
Tm (0.1623, 0.9156, 0.3249)  1 Pt 2.90, 3 Zn 2.99-3.00
Tm (0.5000, 0.7563, 0.0000)  2 Pt 2.95, 2 Zn 3.00
Zn (0.6672, 0.6672, 0.3345)  8 Tm 2.99-3.00
Zn (0.3328, 0.3328, 0.6655)  8 Tm 2.99-3.00
Pt (0.0000, 0.0000, 0.0000)  8 Tm 2.90-2.95

***

Record 4
The following is a PBE calculation of a geometry-optimized NaBi structure, from the Alexandria database.

Output
For the formation energy, the calculation gives -14 kJ per mole of atoms. The symmetry is P6_3/m (176). For the calculated volume, the calculation gives 450.5 Å³/cell. For the energy above the most stable polymorph in this dataset, the calculation gives 3.66 kcal/mol of atoms. For the electronic total energy, the calculation gives -2.746 eV/atom.

a b c (Å): 10.7045 10.7045 4.5402
angles (deg): 90.00 90.00 120.00
With the nearest neighbours (Å) after each atom.
Sites, in units of the cell vectors:
Na (0.8415, 0.1972, 0.2500)  5 Bi 3.30-3.56
Na (0.6443, 0.8415, 0.7500)  5 Bi 3.30-3.56
Na (0.8028, 0.6443, 0.2500)  5 Bi 3.30-3.56
Na (0.1585, 0.8028, 0.7500)  5 Bi 3.30-3.56
Na (0.3557, 0.1585, 0.2500)  5 Bi 3.30-3.56
Na (0.1972, 0.3557, 0.7500)  5 Bi 3.30-3.56
Bi (0.1187, 0.5291, 0.2500)  4 Bi 3.23-3.49, 5 Na 3.30-3.56
Bi (0.5896, 0.1187, 0.7500)  4 Bi 3.23-3.49, 5 Na 3.30-3.56
Bi (0.4709, 0.5896, 0.2500)  4 Bi 3.23-3.49, 5 Na 3.30-3.56
Bi (0.8813, 0.4709, 0.7500)  4 Bi 3.23-3.49, 5 Na 3.30-3.56
Bi (0.4104, 0.8813, 0.2500)  4 Bi 3.23-3.49, 5 Na 3.30-3.56
Bi (0.5291, 0.4104, 0.7500)  4 Bi 3.23-3.49, 5 Na 3.30-3.56

***

Record 5
The following is a PBE calculation of a geometry-optimized Pa3Ni2Rh structure, from the Alexandria database.

Output
For the formation energy, the calculation gives -39 kJ per mole of atoms. The symmetry is Pmc2_1 (26). For the calculated volume, the calculation gives 233.5 Å³/cell. For the electronic total energy, the calculation gives -8.307 eV/atom.

a b c (Å): 3.6208 7.1757 8.9881
angles (deg): 90.00 90.00 90.00
With the nearest neighbours (Å) after each atom.
Sites, in units of the cell vectors:
Pa (0.5000, 0.1826, 0.1189)  4 Rh 2.64-2.92, 3 Ni 2.73-2.89
Pa (0.5000, 0.1808, 0.7340)  3 Ni 2.69-2.83
Pa (0.0000, 0.3724, 0.4072)  5 Ni 2.76-3.06
Pa (0.5000, 0.6826, 0.8811)  4 Rh 2.64-2.92, 3 Ni 2.73-2.89
Pa (0.5000, 0.6808, 0.2660)  3 Ni 2.69-2.83
Pa (0.0000, 0.8724, 0.5928)  5 Ni 2.76-3.06
Ni (0.0000, 0.9578, 0.2595)  2 Ni 2.53, 1 Rh 2.65, 4 Pa 2.69-2.73
Ni (0.5000, 0.0795, 0.4300)  2 Ni 2.53, 5 Pa 2.76-2.83
Ni (0.0000, 0.4578, 0.7405)  2 Ni 2.53, 1 Rh 2.65, 4 Pa 2.69-2.73
Ni (0.5000, 0.5795, 0.5700)  2 Ni 2.53, 5 Pa 2.76-2.83
Rh (0.0000, 0.9282, 0.9658)  4 Pa 2.64-2.92, 1 Ni 2.65
Rh (0.0000, 0.4282, 0.0342)  4 Pa 2.64-2.92, 1 Ni 2.65

***

Record 6
The following is a PBE calculation of a geometry-optimized La3Pr8Er2 structure, from the Alexandria database.

Output
For the formation energy, the calculation gives 20 kJ per mole of atoms. The symmetry is C2/m (12). For the calculated volume, the calculation gives 476.1 Å³/cell. For the energy above the most stable polymorph in this dataset, the calculation gives 1.60 kcal/mol of atoms. For the electronic total energy, the calculation gives -4.573 eV/atom.

a b c (Å): 5.8736 7.8007 11.0999
angles (deg): 110.57 90.04 90.00
With the nearest neighbours (Å) after each atom.
Sites, in units of the cell vectors:
La (0.5000, 0.0000, 0.0000)  4 Pr 3.22
La (0.0000, 0.2910, 0.0000)  1 La 3.26, 2 Pr 3.62
La (0.0000, 0.7090, 0.0000)  1 La 3.26, 2 Pr 3.62
Pr (0.0015, 0.6776, 0.3552)  2 Er 3.39, 4 Pr 3.64-3.65
Pr (0.9985, 0.3224, 0.6448)  2 Er 3.39, 4 Pr 3.64-3.65
Pr (0.9995, 0.1357, 0.2713)  2 La 3.62, 2 Er 3.66-3.67, 7 Pr 3.75-4.00
Pr (0.0005, 0.8643, 0.7287)  2 La 3.62, 2 Er 3.66-3.67, 7 Pr 3.75-4.00
Pr (0.4995, 0.5992, 0.7812)  1 La 3.22, 1 Pr 3.25, 2 Er 3.51-3.56
Pr (0.4995, 0.1820, 0.7812)  1 La 3.22, 1 Pr 3.25, 2 Er 3.51-3.56
Pr (0.5005, 0.8180, 0.2188)  1 La 3.22, 1 Pr 3.25, 2 Er 3.51-3.56
Pr (0.5005, 0.4008, 0.2188)  1 La 3.22, 1 Pr 3.25, 2 Er 3.51-3.56
Er (0.4983, 0.2411, 0.4822)  8 Pr 3.39-3.67
Er (0.5017, 0.7589, 0.5178)  8 Pr 3.39-3.67

***

Record 7
The following is a PBE calculation of a geometry-optimized PmPr3Zn3 structure, from the Alexandria database.

Output
For the formation energy, the calculation gives -18 kJ per mole of atoms. The symmetry is Cmmm (65). For the calculated volume, the calculation gives 394.2 Å³/cell. For the electronic total energy, the calculation gives -3.461 eV/atom.

a b c (Å): 7.3635 7.3635 7.2710
angles (deg): 90.01 90.01 89.32
With the nearest neighbours (Å) after each atom.
Sites, in units of the cell vectors:
Pm (0.7542, 0.7542, 0.9999)  6 Zn 3.14-3.15
Pm (0.2458, 0.2458, 0.0001)  6 Zn 3.14-3.15
Pr (0.7518, 0.7518, 0.4999)  6 Zn 3.18
Pr (0.2522, 0.7478, 0.5000)  6 Zn 3.19-3.20
Pr (0.7478, 0.2522, 0.5000)  6 Zn 3.19-3.20
Pr (0.2536, 0.7464, 0.0000)  6 Zn 3.17-3.18
Pr (0.7464, 0.2536, 0.0000)  6 Zn 3.17-3.18
Pr (0.2482, 0.2482, 0.5001)  6 Zn 3.18
Zn (0.0000, 0.0000, 0.2475)  2 Pm 3.14, 6 Pr 3.18-3.19
Zn (0.0000, 0.5000, 0.7533)  2 Pm 3.15, 6 Pr 3.17-3.20
Zn (0.5000, 0.0000, 0.7533)  2 Pm 3.15, 6 Pr 3.17-3.20
Zn (0.0000, 0.5000, 0.2467)  2 Pm 3.15, 6 Pr 3.17-3.20
Zn (0.5000, 0.0000, 0.2467)  2 Pm 3.15, 6 Pr 3.17-3.20
Zn (0.0000, 0.0000, 0.7525)  2 Pm 3.14, 6 Pr 3.18-3.19

***

Record 8
The following is a PBE calculation of a geometry-optimized YTh2Rh structure, from the Alexandria database.

Output
For the formation energy, the calculation gives -29 kJ per mole of atoms. The symmetry is P4/mmm (123). For the calculated volume, the calculation gives 111.0 Å³/cell. For the energy above the most stable polymorph in this dataset, the calculation gives 3.82 kcal/mol of atoms. For the electronic total energy, the calculation gives -7.466 eV/atom.

a b c (Å): 3.6793 3.6793 8.2004
angles (deg): 90.00 90.00 90.00
With the nearest neighbours (Å) after each atom.
Sites, in units of the cell vectors:
Y (0.5000, 0.5000, 0.5000)  8 Th 3.58, 4 Y 3.68
Rh (0.5000, 0.5000, 0.0000)  8 Th 3.07
Th (0.0000, 0.0000, 0.8007)  4 Rh 3.07, 1 Th 3.27
Th (0.0000, 0.0000, 0.1993)  4 Rh 3.07, 1 Th 3.27

***

Record 9
The following is a PBE calculation of a geometry-optimized RbTaGaO5 structure, from the Alexandria database.

Output
The symmetry is C2/c (15). The uncorrected formation energy comes out at -2.05 eV/atom. For the calculated volume, the calculation gives 247.9 Å³/cell. For the electronic total energy, the calculation gives -7.127 eV/atom.

a b c (Å): 6.0820 6.0820 7.7695
angles (deg): 105.79 105.79 105.26
With the nearest neighbours (Å) after each atom.
Sites, in units of the cell vectors:
Rb (0.3278, 0.6722, 0.2500)  7 O 2.71-2.83
Rb (0.6722, 0.3278, 0.7500)  7 O 2.71-2.83
Ta (0.0000, 0.0000, 0.5000)  6 O 2.00-2.01
Ta (0.0000, 0.0000, 0.0000)  6 O 2.00-2.01
Ga (0.6933, 0.3067, 0.2500)  4 O 1.86-1.89
Ga (0.3067, 0.6933, 0.7500)  4 O 1.86-1.89
O (0.0471, 0.9529, 0.2500)  2 Ta 2.00
O (0.9529, 0.0471, 0.7500)  2 Ta 2.00
O (0.8833, 0.2701, 0.0998)  1 Ga 1.86, 1 Ta 2.01
O (0.1167, 0.7299, 0.9002)  1 Ga 1.86, 1 Ta 2.01
O (0.7299, 0.1167, 0.4002)  1 Ga 1.86, 1 Ta 2.01
O (0.2701, 0.8833, 0.5998)  1 Ga 1.86, 1 Ta 2.01
O (0.7870, 0.6446, 0.3901)  1 Ga 1.89, 1 Ta 2.00
O (0.2130, 0.3554, 0.6099)  1 Ga 1.89, 1 Ta 2.00
O (0.3554, 0.2130, 0.1099)  1 Ga 1.89, 1 Ta 2.00
O (0.6446, 0.7870, 0.8901)  1 Ga 1.89, 1 Ta 2.00

***

Record 10
The following is a PBE calculation of a geometry-optimized CeH8Ir2Rh structure, from the Alexandria database.

Output
The symmetry is R-3 (148). For the calculated volume, the calculation gives 108.4 Å³/cell. For the electronic total energy, the calculation gives -4.962 eV/atom.

a b c (Å): 4.7425 4.7425 6.2031
angles (deg): 67.53 67.53 60.00
With the nearest neighbours (Å) after each atom.
Sites, in units of the cell vectors:
Ce (0.5000, 0.5000, 0.5000)  6 H 2.38
H (0.1825, 0.1825, 0.4524)  1 Ir 1.62
H (0.6408, 0.2454, 0.1869)  1 Ir 1.70, 1 Rh 1.77
H (0.8175, 0.8175, 0.5476)  1 Ir 1.62
H (0.9268, 0.6408, 0.1869)  1 Ir 1.70, 1 Rh 1.77
H (0.0732, 0.3592, 0.8131)  1 Ir 1.70, 1 Rh 1.77
H (0.2454, 0.9268, 0.1869)  1 Ir 1.70, 1 Rh 1.77
H (0.7546, 0.0732, 0.8131)  1 Ir 1.70, 1 Rh 1.77
H (0.3592, 0.7546, 0.8131)  1 Ir 1.70, 1 Rh 1.77
Ir (0.2797, 0.2797, 0.1608)  4 H 1.62-1.70
Ir (0.7203, 0.7203, 0.8392)  4 H 1.62-1.70
Rh (0.0000, 0.0000, 0.0000)  6 H 1.77

***

Record 11
The following is a PBE calculation of a geometry-optimized Er3TmPd3 structure, from the Alexandria database.

Output
For the formation energy, the calculation gives -71 kJ per mole of atoms. The symmetry is R-3m (166). For the calculated volume, the calculation gives 164.5 Å³/cell. For the energy above the most stable polymorph in this dataset, the calculation gives 0.00 kcal/mol of atoms. For the electronic total energy, the calculation gives -5.557 eV/atom.

a b c (Å): 5.9763 5.9858 5.9763
angles (deg): 109.50 109.44 109.50
With the nearest neighbours (Å) after each atom.
Sites, in units of the cell vectors:
Er (0.4996, 0.0035, 0.0000)  6 Pd 2.99
Er (0.5004, 0.5040, 0.5004)  6 Pd 2.99
Er (0.0000, 0.0035, 0.4996)  6 Pd 2.99
Tm (0.0000, 0.5031, 0.0000)  6 Pd 2.99
Pd (0.5001, 0.5037, 0.0000)  6 Er 2.99, 2 Tm 2.99
Pd (0.4999, 0.0036, 0.4999)  6 Er 2.99, 2 Tm 2.99
Pd (0.0000, 0.5037, 0.5001)  6 Er 2.99, 2 Tm 2.99

***

Record 12
The following is a PBE calculation of a geometry-optimized Pr4NdN5 structure, from the Alexandria database.

Output
The symmetry is I4 (79). The uncorrected formation energy comes out at -1.30 eV/atom. For the calculated volume, the calculation gives 177.0 Å³/cell. For the electronic total energy, the calculation gives -7.856 eV/atom.

a b c (Å): 5.2540 6.3711 6.3711
angles (deg): 80.21 65.65 65.65
With the nearest neighbours (Å) after each atom.
Sites, in units of the cell vectors:
Pr (0.4121, 0.3999, 0.8005)  6 N 2.51-2.74
Pr (0.8120, 0.8005, 0.6001)  6 N 2.51-2.74
Pr (0.2125, 0.1995, 0.3999)  6 N 2.51-2.74
Pr (0.6124, 0.6001, 0.1995)  6 N 2.51-2.74
Nd (0.0131, 0.0000, 0.0000)  6 N 2.49-2.77
N (0.8909, 0.3980, 0.8009)  5 Pr 2.51-2.74, 1 Nd 2.59
N (0.2889, 0.8009, 0.6020)  5 Pr 2.51-2.74, 1 Nd 2.59
N (0.6919, 0.1991, 0.3980)  5 Pr 2.51-2.74, 1 Nd 2.59
N (0.0898, 0.6020, 0.1991)  5 Pr 2.51-2.74, 1 Nd 2.59
N (0.4867, 0.0000, 0.0000)  2 Nd 2.49-2.77, 4 Pr 2.60